{
  "formula": "Sm2DyTm9",
  "functional": "PBE-GGA",
  "state": "optimized geometry",
  "cell": [[11.111, 0.000, 0.000], [-5.555, 9.622, 0.000], [0.000, 0.000, 3.473]],
  "species": ["Sm", "Sm", "Dy", "Tm", "Tm", "Tm", "Tm", "Tm", "Tm", "Tm", "Tm", "Tm"],
  "fractional_positions": [[0.333, 0.667, 0.000], [0.667, 0.333, 0.000], [0.000, 0.000, 0.000], [0.000, 0.500, 0.000], [0.175, 0.351, 0.500], [0.175, 0.825, 0.500], [0.351, 0.175, 0.500], [0.500, 0.000, 0.000], [0.500, 0.500, 0.000], [0.649, 0.825, 0.500], [0.825, 0.175, 0.500], [0.825, 0.649, 0.500]],
  "magnetic_moment_mub_per_cell": 0.00,
  "e_form_ev_per_atom": 0.068,
  "de_polymorph_mev_per_atom": 41,
  "n_ef_per_ev_cell": 19.8
}